Entry 1:
A plane-wave DFT calculation with PBE was carried out for an optimized crystal structure of TlHg2As2.

Calculated values
Formation energy from the elements: 0.6 eV per formula unit
Spin magnetization: 0.000 μB/atom
ΔE to the lowest computed polymorph: 0.0000 eV per atom

abc: 5.247 5.247 9.692
angles: 90.00 90.00 90.00
Space group I4/mmm (No. 139)
One atom of each set of equivalent atoms:
Tl  0.000  0.000  0.000 (multiplicity 2)
Hg  0.000  0.500  0.250 (multiplicity 4)
As  0.000  0.000  0.374 (multiplicity 4)

Entry 2:
A plane-wave DFT calculation with PBE was carried out for an optimized crystal structure of Nb3GaOs.

Calculated values
Formation energy from the elements: 4.8 eV per formula unit
Spin magnetization: 0.000 μB/atom
ΔE to the lowest computed polymorph: 0.0000 eV per atom

abc: 4.858 4.858 4.858
angles: 90.00 90.00 90.00
Space group Pm-3m (No. 221)
One atom of each set of equivalent atoms:
Nb  0.000  0.000  0.500 (multiplicity 3)
Ga  0.500  0.500  0.500 (multiplicity 1)
Os  0.000  0.000  0.000 (multiplicity 1)

Entry 3:
A plane-wave DFT calculation with PBE was carried out for an optimized crystal structure of NaBi2.

Calculated values
Formation energy from the elements: -0.3 eV per formula unit
Spin magnetization: 0.000 μB/atom
ΔE to the lowest computed polymorph: 0.0432 eV per atom

abc: 9.470 9.470 9.470
angles: 90.00 90.00 90.00
Space group Fd-3m (No. 227, origin choice 2)
One atom of each set of equivalent atoms:
Na  0.125  0.125  0.125 (multiplicity 8)
Bi  0.000  0.000  0.500 (multiplicity 16)

Entry 4:
A plane-wave DFT calculation with PBE was carried out for an optimized crystal structure of LaY3Sn.

Calculated values
Formation energy from the elements: 3.6 eV per formula unit
Spin magnetization: 0.000 μB/atom
ΔE to the lowest computed polymorph: 0.5766 eV per atom

abc: 5.547 5.547 5.547
angles: 90.00 90.00 90.00
Space group Pm-3m (No. 221)
One atom of each set of equivalent atoms:
La  0.000  0.000  0.000 (multiplicity 1)
Y  0.000  0.000  0.500 (multiplicity 3)
Sn  0.500  0.500  0.500 (multiplicity 1)

What is the spin magnetization in the fourth record?
0.000 μB/atom

Repeat the third record exactly.
A plane-wave DFT calculation with PBE was carried out for an optimized crystal structure of NaBi2.

Calculated values
Formation energy from the elements: -0.3 eV per formula unit
Spin magnetization: 0.000 μB/atom
ΔE to the lowest computed polymorph: 0.0432 eV per atom

abc: 9.470 9.470 9.470
angles: 90.00 90.00 90.00
Space group Fd-3m (No. 227, origin choice 2)
One atom of each set of equivalent atoms:
Na  0.125  0.125  0.125 (multiplicity 8)
Bi  0.000  0.000  0.500 (multiplicity 16)